Record 1
The following is a PBE calculation of a relaxed CuRe4Te crystal, from the Alexandria database.

Mass density ... 14.964 g cm⁻³
E_form (uncorrected) ... 0.8612 eV per atom
Spin magnetization ... 0.00 μB/f.u.

abc: 5.276 5.276 5.276
angles: 60.00 60.00 60.00
Positions (direct):
Te: 0.750 0.750 0.750
Cu: 0.000 0.000 0.000
Re: 0.877 0.374 0.374
Re: 0.374 0.374 0.877
Re: 0.374 0.877 0.374
Re: 0.374 0.374 0.374

=====

Record 2
The following is a PBE calculation of a relaxed Cu2ReTe crystal, from the Alexandria database.

Mass density ... 11.891 g cm⁻³
E_form (uncorrected) ... 0.6622 eV per atom
Spin magnetization ... 0.00 μB/f.u.

abc: 3.945 3.945 3.956
angles: 90.00 90.00 90.00
Positions (direct):
Te: 0.000 0.500 0.500
Cu: 0.000 0.000 0.000
Cu: 0.500 0.500 0.000
Re: 0.500 0.000 0.500

=====

Record 3
The following is a PBE calculation of a relaxed Cu2ReTe crystal, from the Alexandria database.

Mass density ... 10.930 g cm⁻³
E_form (uncorrected) ... 0.7721 eV per atom
Spin magnetization ... 0.00 μB/f.u.

abc: 2.873 2.873 8.989
angles: 90.00 90.00 115.49
Positions (direct):
Re: 0.000 0.000 0.475
Te: 0.500 0.500 0.745
Cu: 0.000 0.000 0.034
Cu: 0.500 0.500 0.246

=====

Record 4
The following is a PBE calculation of a relaxed CuReTe2 crystal, from the Alexandria database.

Mass density ... 9.654 g cm⁻³
Distance to the lowest polymorph of the same formula ... 0.386 eV/atom
E_form (uncorrected) ... 0.6660 eV per atom
Spin magnetization ... 0.00 μB/f.u.

abc: 3.072 3.072 10.005
angles: 90.00 90.00 113.12
Positions (direct):
Re: 0.500 0.500 0.724
Cu: 0.000 0.000 0.529
Te: 0.500 0.500 0.313
Te: 0.000 0.000 0.933

=====

Record 5
The following is a PBE calculation of a relaxed Cu2ReTe crystal, from the Alexandria database.

Mass density ... 10.757 g cm⁻³
E_form (uncorrected) ... 0.8485 eV per atom
Spin magnetization ... 0.87 μB/f.u.

abc: 7.266 7.266 5.748
angles: 50.80 50.80 90.00
Site moments in Bohr magnetons follow the coordinates.
Positions (direct):
Cu: 0.875 0.882 0.750  0.02
Cu: 0.118 0.625 0.250  0.02
Cu: 0.375 0.368 0.750  0.02
Cu: 0.632 0.125 0.250  0.02
Re: 0.750 0.250 0.500  0.73
Re: 0.000 0.000 0.000  0.74
Te: 0.250 0.750 0.500  0.03
Te: 0.500 0.500 0.000  0.02

=====

Record 6
The following is a PBE calculation of a relaxed Cu2ReTe crystal, from the Alexandria database.

Mass density ... 11.963 g cm⁻³
E_form (uncorrected) ... 0.5303 eV per atom
Spin magnetization ... 0.62 μB/f.u.

abc: 4.886 4.886 4.886
angles: 133.03 133.03 68.60
Site moments in Bohr magnetons follow the coordinates.
Positions (direct):
Cu: 0.000 0.000 0.000  0.00
Cu: 0.250 0.750 0.500  0.02
Te: 0.750 0.250 0.500  -0.01
Re: 0.500 0.500 0.000  0.56

=====

Record 7
The following is a PBE calculation of a relaxed CuReTe2 crystal, from the Alexandria database.

Mass density ... 9.748 g cm⁻³
Distance to the lowest polymorph of the same formula ... 0.435 eV/atom
E_form (uncorrected) ... 0.7154 eV per atom
Spin magnetization ... 0.00 μB/f.u.

abc: 3.457 2.950 8.767
angles: 105.86 90.00 90.00
Positions (direct):
Re: 0.500 0.750 0.750
Te: 0.000 0.932 0.000
Te: 0.000 0.568 0.500
Cu: 0.500 0.250 0.250

=====

Record 8
The following is a PBE calculation of a relaxed CuReTe2 crystal, from the Alexandria database.

Mass density ... 10.810 g cm⁻³
Distance to the lowest polymorph of the same formula ... 0.651 eV/atom
E_form (uncorrected) ... 0.9305 eV per atom
Spin magnetization ... 0.00 μB/f.u.

abc: 5.548 5.548 5.548
angles: 137.31 137.31 61.95
Positions (direct):
Cu: 0.500 0.500 0.000
Te: 0.250 0.750 0.500
Te: 0.000 0.000 0.000
Re: 0.750 0.250 0.500

=====

Table of raw total energy (eV per atom), in record order: -8.64 -5.28 -5.17 -5.04 -5.10 -5.42 -4.99 -4.78
Table of V (Å³ per cell), in record order: 104 62 67 87 136 61 86 78